(1)
{"formula": "Y2Pd2I", "functional": "PBE-GGA", "state": "optimized geometry", "e_above_lowest_polymorph_mev_per_atom": 0, "raw_formation_energy_ev_per_fu": -3.9, "cell": [[-1.302, -1.194, 7.835], [-2.242, -7.560, -1.525], [3.491, -1.118, 0.410]], "species": ["Pd", "Pd", "Pd", "Pd", "Y", "Y", "Y", "Y", "I", "I"], "frac_coords": [[0.374, 0.874, 0.000], [0.626, 0.126, 0.000], [0.874, 0.626, 0.000], [0.126, 0.374, 0.000], [0.837, 0.337, 0.500], [0.663, 0.837, 0.500], [0.163, 0.663, 0.500], [0.337, 0.163, 0.500], [0.000, 0.000, 0.000], [0.500, 0.500, 0.000]]}

---

(2)
{"formula": "Mn4B", "functional": "PBE-GGA", "state": "optimized geometry", "e_above_lowest_polymorph_mev_per_atom": 0, "cell": [[0.000, 3.532, 6.958], [2.021, 0.000, 6.958], [2.021, 3.532, 0.000]], "species": ["Mn", "Mn", "Mn", "Mn", "Mn", "Mn", "Mn", "Mn", "B", "B"], "frac_coords": [[0.081, 0.081, 0.919], [0.919, 0.919, 0.081], [0.421, 0.079, 0.421], [0.657, 0.343, 0.657], [0.833, 0.833, 0.667], [0.667, 0.667, 0.833], [0.079, 0.421, 0.079], [0.343, 0.657, 0.343], [0.375, 0.375, 0.125], [0.125, 0.125, 0.375]]}